This record from the Open Quantum Materials Database describes crystalline NbPbO3 at its relaxed geometry. The functional is GGA-PBE.

Computed properties:
As for the space group: I4/mcm, No. 140. As for the electronic total energy: -7.649 eV/atom.

a = 5.773 Å, b = 5.773 Å, c = 5.773 Å
α = 120.42°, β = 120.42°, γ = 89.27°
Fractional positions:
Nb: 0.000 0.000 0.000
Nb: 0.500 0.500 0.000
Pb: 0.250 0.750 0.500
Pb: 0.750 0.250 0.500
O: 0.214 0.714 0.929
O: 0.250 0.250 0.000
O: 0.286 0.214 0.500
O: 0.714 0.786 0.500
O: 0.750 0.750 0.000
O: 0.786 0.286 0.071